Entry 1:
First-principles (GGA-PBEsol) data for an optimized crystal structure of ZrTaZn2, as listed in the Alexandria database.

Calculated values
- V: 16.7 Å³/atom
- Energy of formation from the pure elements: 8 meV/atom
- Mass density: 9995 kg/m3

Lattice parameters (Å, degrees): 3.899 3.899 5.196 112.04 112.04 90.00
Sites, in units of the cell vectors:
Ta1 0.250 0.750 0.500
Zn1 0.000 0.000 0.000
Zn2 0.750 0.250 0.500
Zr1 0.500 0.500 0.000

***

Entry 2:
First-principles (GGA-PBEsol) data for an optimized crystal structure of Zr2TaZn, as listed in the Alexandria database.

Calculated values
- V: 18.8 Å³/atom
- Energy of formation from the pure elements: 126 meV/atom
- Mass density: 9447 kg/m3

Lattice parameters (Å, degrees): 2.951 5.192 5.252 110.55 90.00 90.00
Sites, in units of the cell vectors:
Ta1 0.500 0.500 0.000
Zn1 0.000 0.500 0.500
Zr1 0.000 0.000 0.000
Zr2 0.500 0.000 0.500

***

Entry 3:
First-principles (GGA-PBEsol) data for an optimized crystal structure of ZrTa2Zn, as listed in the Alexandria database.

Calculated values
- V: 17.7 Å³/atom
- Energy of formation from the pure elements: 24 meV/atom
- Mass density: 12184 kg/m3

Lattice parameters (Å, degrees): 2.816 2.816 9.170 90.00 90.00 103.68
Sites, in units of the cell vectors:
Ta1 0.000 0.000 0.990
Ta2 0.500 0.500 0.743
Zn1 0.000 0.000 0.510
Zr1 0.500 0.500 0.257

***

Entry 4:
First-principles (GGA-PBEsol) data for an optimized crystal structure of ZrTa2Zn, as listed in the Alexandria database.

Calculated values
- V: 17.8 Å³/atom
- Energy of formation from the pure elements: 60 meV/atom
- Mass density: 12066 kg/m3

Lattice parameters (Å, degrees): 2.949 5.002 5.185 102.69 106.52 90.00
Sites, in units of the cell vectors:
Ta1 0.235 0.231 0.469
Ta2 0.765 0.769 0.531
Zn1 0.500 0.000 0.000
Zr1 0.000 0.500 0.000